(1)
A geometry-optimized CoAu2Br6 structure, computed with GGA-PBE.

The structure in POSCAR format:
```
CoAu2Br6
1.0
8.811 -5.796 0.000
8.811 5.796 0.000
-0.200 0.000 6.148
Co Au Br
2 4 12
Direct
0.077 0.923 0.750
0.923 0.077 0.250
0.065 0.351 0.411
0.351 0.065 0.911
0.649 0.935 0.089
0.935 0.649 0.589
0.004 0.145 0.933
0.145 0.004 0.433
0.150 0.687 0.606
0.301 0.336 0.400
0.313 0.850 0.894
0.336 0.301 0.900
0.664 0.699 0.100
0.687 0.150 0.106
0.699 0.664 0.600
0.850 0.313 0.394
0.855 0.996 0.567
0.996 0.855 0.067
```

---

(2)
A geometry-optimized Ac3PmTh2Se6 structure, computed with GGA-PBE.

The structure in POSCAR format:
```
Ac3PmTh2Se6
1.0
3.731 -6.436 0.000
3.731 6.436 0.000
-2.471 0.000 7.166
Ac Pm Th Se
3 1 2 6
Direct
0.000 0.000 0.000
0.334 0.666 0.000
0.666 0.334 0.000
0.500 0.500 0.500
0.167 0.833 0.500
0.833 0.167 0.500
0.090 0.422 0.266
0.245 0.245 0.733
0.422 0.090 0.266
0.578 0.910 0.734
0.755 0.755 0.267
0.910 0.578 0.734
```

---

For the records above, the corresponding formation energy from raw total energies values read -0.134 -1.728 eV/atom.